This record from Alexandria describes crystalline Na3Tb3NbSe8 at its relaxed geometry. The functional is PBE.

formation energy without anion corrections	-1.465	eV/atom
space-group type	R-3m
size of the total moment	1.0	μB/f.u.

abc: 8.5245 8.5245 8.5245
angles: 56.91 56.91 56.91
Fractional coordinates of all 15 atoms:
Na 0.0000 0.5000 0.5000
Na 0.5000 0.0000 0.5000
Na 0.5000 0.5000 0.0000
Tb 0.0000 0.0000 0.5000
Tb 0.0000 0.5000 0.0000
Tb 0.5000 0.0000 0.0000
Nb 0.5000 0.5000 0.5000
Se 0.2442 0.2442 0.2442
Se 0.2610 0.7288 0.7288
Se 0.2712 0.2712 0.7390
Se 0.2712 0.7390 0.2712
Se 0.7288 0.2610 0.7288
Se 0.7288 0.7288 0.2610
Se 0.7390 0.2712 0.2712
Se 0.7558 0.7558 0.7558